# 1
A relaxed structure of V2FeRu. Source: the Alexandria database, functional PBE.

Computed properties:
- E above lowest polymorph (eV per formula unit) = 0.000

a = 2.957 Å, b = 2.957 Å, c = 5.875 Å
α = 90.00°, β = 90.00°, γ = 90.00°
Space group P4/mmm (No. 123)
Asymmetric unit:
V1 0.000 0.000 0.236 x2
Fe1 0.500 0.500 0.000 x1
Ru1 0.500 0.500 0.500 x1

=====

# 2
A relaxed structure of VFe3Ru4. Source: the Alexandria database, functional PBE.

a = 4.2257 Å, b = 4.2257 Å, c = 20.6667 Å
α = 90.00°, β = 90.00°, γ = 120.00°
Space group R-3m (No. 166, hexagonal axes)
Asymmetric unit:
V1 0.0000 0.0000 0.0000 x3
Fe1 0.0000 0.0000 0.2492 x6
Fe2 0.0000 0.0000 0.5000 x3
Ru1 0.0000 0.0000 0.1245 x6
Ru2 0.0000 0.0000 0.3747 x6

=====

| no. | total DFT energy (no corrections) (eV/f.u.) | N(E_F) (states/eV per atom) | energy of formation from the pure elements (eV/f.u.) |
| --- | --- | --- | --- |
| 1 | -36.77 | 1.255 | -0.8 |
| 2 | -71.36 | 1.132 | 0.2 |